Sr2Mg3Ga2 | PBE | relaxed

Output
SG: No. 12
Fermi-level density of states, states/eV per cell: 4.224
VASP energy, eV per atom: -2.273
E_form, eV/atom: -0.24

```
data_Sr2Mg3Ga2
_space_group_name_H-M_alt 'P 1'
_space_group_IT_number 1
_cell_length_a 6.1661
_cell_length_b 6.1661
_cell_length_c 7.3896
_cell_angle_alpha 102.21
_cell_angle_beta 102.21
_cell_angle_gamma 45.07
loop_
_space_group_symop_operation_xyz
'x,y,z'
loop_
_atom_site_label
_atom_site_fract_x
_atom_site_fract_y
_atom_site_fract_z
Sr1 0.1211 0.1211 0.3593
Sr2 0.8789 0.8789 0.6407
Mg1 0.1885 0.1885 0.8787
Mg2 0.5000 0.5000 0.0000
Mg3 0.8115 0.8115 0.1213
Ga1 0.4029 0.4029 0.3130
Ga2 0.5971 0.5971 0.6870
```